The following is a PBE calculation of an optimized crystal structure of CaTa2TlRe, from Alexandria.

Cell lengths 4.792, 4.730, 4.792 Å; angles 90.00, 90.00, 90.00 degrees
Atoms (fractional coordinates):
Ta 0.500 0.000 0.000
Ta 0.000 0.000 0.500
Tl 0.500 0.500 0.500
Ca 0.000 0.000 0.000
Re 0.000 0.500 0.000

Results
The theoretical density is 12.12 Mg/m³. The raw total energy comes out at -0.2008 Ha/atom. Its formation enthalpy at 0 K is 2640 meV per atom. The total magnetization comes out at 0.0000 μB/atom.

---

The following is a PBE calculation of an optimized crystal structure of CaRe2Tc2, from Alexandria.

Cell lengths 7.815, 7.815, 2.811 Å; angles 90.00, 90.00, 90.00 degrees
Atoms (fractional coordinates):
Tc 0.853 0.647 0.000
Tc 0.147 0.353 0.000
Tc 0.647 0.147 0.000
Tc 0.353 0.853 0.000
Re 0.858 0.358 0.500
Re 0.642 0.858 0.500
Re 0.142 0.642 0.500
Re 0.358 0.142 0.500
Ca 0.000 0.000 0.000
Ca 0.500 0.500 0.000

Results
The theoretical density is 11.77 Mg/m³. The raw total energy comes out at -0.3407 Ha/atom. Its formation enthalpy at 0 K is 255 meV per atom. The total magnetization comes out at 0.0000 μB/atom.

---

The following is a PBE calculation of an optimized crystal structure of Ca3ReTc, from Alexandria.

Cell lengths 5.446, 5.446, 5.446 Å; angles 90.00, 90.00, 90.00 degrees
Atoms (fractional coordinates):
Ca 0.000 0.500 0.000
Ca 0.000 0.000 0.500
Ca 0.500 0.000 0.000
Tc 0.500 0.500 0.500
Re 0.000 0.000 0.000

Results
The theoretical density is 4.16 Mg/m³. The raw total energy comes out at -0.1577 Ha/atom. Its formation enthalpy at 0 K is 1473 meV per atom. The total magnetization comes out at 0.8893 μB/atom.

---

The following is a PBE calculation of an optimized crystal structure of Ca3ReTc, from Alexandria.

Cell lengths 5.281, 5.281, 5.281 Å; angles 90.00, 90.00, 90.00 degrees
Atoms (fractional coordinates):
Ca 0.000 0.000 0.500
Ca 0.000 0.500 0.000
Ca 0.500 0.000 0.000
Re 0.500 0.500 0.500
Tc 0.000 0.000 0.000

Results
The theoretical density is 4.56 Mg/m³. The raw total energy comes out at -0.1568 Ha/atom. Its formation enthalpy at 0 K is 1498 meV per atom. The total magnetization comes out at 0.8315 μB/atom.

---

Which of these has the highest formation enthalpy at 0 K?
CaTa2TlRe

---

Repeat the fourth record exactly.
The following is a PBE calculation of an optimized crystal structure of Ca3ReTc, from Alexandria.

Cell lengths 5.281, 5.281, 5.281 Å; angles 90.00, 90.00, 90.00 degrees
Atoms (fractional coordinates):
Ca 0.000 0.000 0.500
Ca 0.000 0.500 0.000
Ca 0.500 0.000 0.000
Re 0.500 0.500 0.500
Tc 0.000 0.000 0.000

Results
The theoretical density is 4.56 Mg/m³. The raw total energy comes out at -0.1568 Ha/atom. Its formation enthalpy at 0 K is 1498 meV per atom. The total magnetization comes out at 0.8315 μB/atom.

---

What is the theoretical density in the fourth record?
4.56 Mg/m³

---

Which formula does entry 4 have?
Ca3ReTc